# PmDyRhBr

A geometry-optimized PmDyRhBr structure (PBE, Alexandria).

a = 4.0293 Å, b = 4.0293 Å, c = 23.3930 Å
α = 90.00°, β = 90.00°, γ = 120.00°
Space group R3m (No. 160, hexagonal axes)
Symmetry-distinct sites (fractional):
Pm 0.0000 0.0000 0.0000 [3 per cell]
Dy 0.0000 0.0000 0.2047 [3 per cell]
Rh 0.0000 0.0000 0.6000 [3 per cell]
Br 0.0000 0.0000 0.7724 [3 per cell]

Values from the calculation:
M_tot, Bohr magnetons per cell: 0.00
Theoretical density, Mg/m³: 7.4
Raw total energy, eV per atom: -5.666